No. 1
Entry from Alexandria: a geometry-optimized SiSnBiCl2 structure (PBEsol).

POSCAR file:
```
SiSnBiCl2
1.0
5.026 0.000 0.000
0.000 5.026 0.000
0.000 0.000 6.072
Si Sn Bi Cl
1 1 1 2
direct
0.000 0.000 0.000
0.500 0.500 0.500
0.500 0.500 0.000
0.000 0.500 0.500
0.500 0.000 0.500
```

Computed properties:
- Raw total energy: -3.41 eV per atom
- Energy relative to the elements, uncorrected: 252 meV/atom
- Size of the total moment: 0.000 μB/f.u.


No. 2
Entry from Alexandria: a geometry-optimized SnBiCl3 structure (PBEsol).

POSCAR file:
```
SnBiCl3
1.0
5.452 0.000 0.000
0.000 5.452 0.000
0.000 0.000 5.452
Sn Bi Cl
1 1 3
direct
0.000 0.000 0.000
0.500 0.500 0.500
0.000 0.500 0.500
0.500 0.000 0.500
0.500 0.500 0.000
```

Computed properties:
- Raw total energy: -3.11 eV per atom
- Energy relative to the elements, uncorrected: -198 meV/atom
- Size of the total moment: 1.375 μB/f.u.


No. 3
Entry from Alexandria: a geometry-optimized TaBi2Cl structure (PBEsol).

POSCAR file:
```
TaBi2Cl
1.0
-3.256 3.256 6.786
3.256 -3.256 6.786
3.256 3.256 -6.786
Ta Bi Cl
2 4 2
direct
0.000 0.000 0.000
0.750 0.250 0.500
0.077 0.625 0.952
0.375 0.327 0.452
0.673 0.125 0.048
0.875 0.923 0.548
0.250 0.750 0.500
0.500 0.500 0.000
```

Computed properties:
- Raw total energy: -5.07 eV per atom
- Energy relative to the elements, uncorrected: 710 meV/atom
- Size of the total moment: 0.000 μB/f.u.


No. 4
Entry from Alexandria: a geometry-optimized TaBiCl2 structure (PBEsol).

POSCAR file:
```
TaBiCl2
1.0
1.617 0.933 11.553
-1.617 0.933 11.553
0.000 -1.867 11.553
Ta Bi Cl
1 1 2
direct
0.000 0.000 0.000
0.500 0.500 0.500
0.065 0.065 0.065
0.935 0.935 0.935
```

Computed properties:
- Raw total energy: -5.40 eV per atom
- Energy relative to the elements, uncorrected: -182 meV/atom
- Size of the total moment: 0.001 μB/f.u.